Entry from Alexandria via LeMat-Bulk: crystalline Mn2AsO5 at its relaxed geometry (PBE with a Hubbard U).

Cell and atoms, written as POSCAR:
```
Mn2AsO5
1.0
-1.684 2.580 -2.123
-2.073 -0.033 4.900
7.289 7.335 3.133
Mn O As
4 10 2
Direct
0.849 0.698 0.057
0.151 0.302 0.943
0.151 0.302 0.557
0.849 0.698 0.443
0.709 0.418 0.250
0.968 0.936 0.879
0.291 0.582 0.750
0.307 0.613 0.438
0.968 0.936 0.621
0.032 0.064 0.121
0.693 0.387 0.562
0.032 0.064 0.379
0.307 0.613 0.062
0.693 0.387 0.938
0.860 0.719 0.750
0.140 0.281 0.250
```

Summary:
Excess energy over the best structure of this formula in the dataset   165 meV per atom
Space group   Cmcm (63)
Size of the total moment   1.0010 μB per atom
E_tot   -110.48 eV for the cell shown
Density   4.37 g cm⁻³